Record 1
First-principles (GGA-PBE) data for a relaxed Tb5PrSc2 crystal, as listed in the Alexandria database.

Results
- Energy of formation from the pure elements: 0.034 eV/atom
- Polymorph energy (0 for the lowest one): 0 meV per atom
- Energy: -161.3 eV/cell

abc: 7.064 12.175 11.341
angles: 90.00 90.00 90.00
Sites, in units of the cell vectors:
Tb 0.756 0.167 0.748
Tb 0.756 0.833 0.252
Tb 0.244 0.333 0.248
Tb 0.244 0.667 0.752
Tb 0.244 0.833 0.252
Tb 0.244 0.167 0.748
Tb 0.756 0.667 0.752
Tb 0.756 0.333 0.248
Tb 0.500 0.253 0.999
Tb 0.500 0.747 0.001
Tb 0.500 0.247 0.499
Tb 0.500 0.753 0.501
Tb 0.000 0.255 0.998
Tb 0.000 0.745 0.002
Tb 0.000 0.245 0.498
Tb 0.000 0.755 0.502
Tb 0.755 0.000 0.000
Tb 0.245 0.500 0.500
Tb 0.245 0.000 0.000
Tb 0.755 0.500 0.500
Pr 0.500 0.421 0.753
Pr 0.500 0.579 0.247
Pr 0.500 0.079 0.253
Pr 0.500 0.921 0.747
Sc 0.000 0.917 0.746
Sc 0.000 0.083 0.254
Sc 0.000 0.583 0.246
Sc 0.000 0.417 0.754
Sc 0.759 0.000 0.500
Sc 0.241 0.500 0.000
Sc 0.241 0.000 0.500
Sc 0.759 0.500 0.000


Record 2
First-principles (GGA-PBE) data for a relaxed Tb4PrSc5 crystal, as listed in the Alexandria database.

Results
- Energy of formation from the pure elements: 0.249 eV/atom
- Polymorph energy (0 for the lowest one): 142 meV per atom
- Energy: -52.5 eV/cell

abc: 5.770 7.681 7.681
angles: 81.89 67.94 67.94
Sites, in units of the cell vectors:
Tb 0.481 0.325 0.675
Tb 0.806 0.675 0.675
Tb 0.156 0.325 0.325
Tb 0.481 0.675 0.325
Pr 0.206 0.000 0.000
Sc 0.735 0.380 0.000
Sc 0.115 0.000 0.620
Sc 0.735 0.000 0.380
Sc 0.115 0.620 0.000
Sc 0.681 0.000 0.000


Record 3
First-principles (GGA-PBE) data for a relaxed Tb6Pr3Sc2 crystal, as listed in the Alexandria database.

Results
- Energy of formation from the pure elements: 0.041 eV/atom
- Energy: -54.3 eV/cell

abc: 3.561 3.561 31.722
angles: 86.78 86.78 60.00
Sites, in units of the cell vectors:
Tb 0.905 0.905 0.284
Tb 0.095 0.095 0.716
Tb 0.818 0.818 0.546
Tb 0.182 0.182 0.454
Tb 0.635 0.635 0.094
Tb 0.365 0.365 0.906
Pr 0.000 0.000 0.000
Pr 0.729 0.729 0.812
Pr 0.271 0.271 0.188
Sc 0.544 0.544 0.369
Sc 0.456 0.456 0.631


Record 4
First-principles (GGA-PBE) data for a relaxed Tb2PrSc6 crystal, as listed in the Alexandria database.

Results
- Energy of formation from the pure elements: 0.708 eV/atom
- Energy: -91.3 eV/cell

abc: 5.110 5.110 20.890
angles: 90.00 90.00 90.00
Sites, in units of the cell vectors:
Tb 0.500 0.500 0.238
Tb 0.500 0.500 0.762
Tb 0.000 0.000 0.262
Tb 0.000 0.000 0.738
Pr 0.500 0.500 0.000
Pr 0.000 0.000 0.500
Sc 0.778 0.778 0.119
Sc 0.778 0.778 0.881
Sc 0.664 0.664 0.500
Sc 0.836 0.164 0.000
Sc 0.722 0.278 0.381
Sc 0.722 0.278 0.619
Sc 0.278 0.722 0.381
Sc 0.278 0.722 0.619
Sc 0.164 0.836 0.000
Sc 0.336 0.336 0.500
Sc 0.222 0.222 0.119
Sc 0.222 0.222 0.881


Record 5
First-principles (GGA-PBE) data for a relaxed Tb2PrSc5 crystal, as listed in the Alexandria database.

Results
- Energy of formation from the pure elements: 0.060 eV/atom
- Energy: -45.2 eV/cell

abc: 6.723 6.723 6.723
angles: 92.41 118.62 118.62
Sites, in units of the cell vectors:
Tb 0.500 0.278 0.778
Tb 0.500 0.778 0.278
Pr 0.000 0.777 0.777
Sc 0.500 0.778 0.778
Sc 0.000 0.778 0.278
Sc 0.000 0.278 0.778
Sc 0.500 0.278 0.278
Sc 0.000 0.278 0.278


Record 6
First-principles (GGA-PBE) data for a relaxed Tb12Pr2Sc crystal, as listed in the Alexandria database.

Results
- Energy of formation from the pure elements: 0.122 eV/atom
- Energy: -139.2 eV/cell

abc: 6.685 6.685 24.626
angles: 94.46 94.46 116.38
Sites, in units of the cell vectors:
Tb 0.518 0.561 0.804
Tb 0.061 0.018 0.804
Tb 0.846 0.877 0.934
Tb 0.296 0.796 0.887
Tb 0.040 0.036 0.329
Tb 0.204 0.704 0.113
Tb 0.669 0.169 0.578
Tb 0.536 0.540 0.329
Tb 0.377 0.346 0.934
Tb 0.654 0.623 0.066
Tb 0.159 0.148 0.556
Tb 0.831 0.331 0.422
Tb 0.964 0.960 0.671
Tb 0.341 0.352 0.444
Tb 0.123 0.154 0.066
Tb 0.852 0.841 0.444
Tb 0.648 0.659 0.556
Tb 0.982 0.939 0.196
Tb 0.154 0.654 0.569
Tb 0.460 0.464 0.671
Tb 0.797 0.297 0.857
Tb 0.439 0.482 0.196
Tb 0.346 0.846 0.431
Tb 0.703 0.203 0.143
Pr 0.506 0.006 0.272
Pr 0.011 0.511 0.275
Pr 0.994 0.494 0.728
Pr 0.489 0.989 0.725
Sc 0.517 0.017 0.014
Sc 0.983 0.483 0.986